--- w ---
VASP calculation (PBE) on a relaxed CuPHS crystal.

a b c (Å): 3.4045 4.0629 5.4078
angles (deg): 72.84 88.86 65.36
Fractional coordinates of all 4 atoms:
Cu  0.0000  0.0000  0.0000
P  0.2876  0.4339  0.9134
H  0.4065  0.2539  0.4686
S  0.2235  0.6055  0.4988

## Properties
The value obtained for the density of states at the Fermi level is 0.599 states/eV/f.u. As for the crystal system: triclinic.

--- x ---
VASP calculation (PBE) on a relaxed CuPHS crystal.

a b c (Å): 3.5952 4.3262 5.2756
angles (deg): 90.44 109.90 114.45
Fractional coordinates of all 4 atoms:
Cu  0.0000  0.0000  0.0000
P  0.5256  0.8302  0.2203
H  0.2696  0.4818  0.0526
S  0.6270  0.6690  0.5881

## Properties
The value obtained for the density of states at the Fermi level is 0.408 states/eV/f.u. As for the crystal system: triclinic.

--- y ---
VASP calculation (PBE) on a relaxed CuPHS crystal.

a b c (Å): 2.4676 2.7044 7.3714
angles (deg): 90.00 90.00 90.00
Fractional coordinates of all 4 atoms:
Cu  0.0000  0.0000  0.0000
P  0.0000  0.0000  0.3413
H  0.5000  0.5000  0.9950
S  0.0000  0.0000  0.6451

## Properties
The value obtained for the density of states at the Fermi level is 1.485 states/eV/f.u. As for the crystal system: orthorhombic.

Name the least stable of them. y.

--- w ---
VASP calculation (PBE) on a relaxed CuPHS crystal.

a b c (Å): 7.3669 3.4534 4.9209
angles (deg): 90.00 110.38 90.00
Fractional coordinates of all 8 atoms:
Cu  0.0000  0.0000  0.0000
Cu  0.5000  0.5000  0.0000
P  0.0045  0.5000  0.3206
P  0.5045  0.0000  0.3206
H  0.3107  0.0000  0.3263
H  0.8107  0.5000  0.3263
S  0.1458  0.5000  0.7708
S  0.6458  0.0000  0.7708

## Properties
The value obtained for the density of states at the Fermi level is 1.565 states/eV/f.u. As for the crystal system: monoclinic.

--- x ---
VASP calculation (PBE) on a relaxed CuPHS crystal.

a b c (Å): 3.9364 3.1452 4.9737
angles (deg): 90.00 111.89 90.00
Fractional coordinates of all 4 atoms:
Cu  0.0000  0.0000  0.0000
P  0.2628  0.5000  0.3702
H  0.6372  0.5000  0.3982
S  0.3834  0.0000  0.7507

## Properties
The value obtained for the density of states at the Fermi level is 1.180 states/eV/f.u. As for the crystal system: monoclinic.

Name the least stable of them. x.

--- w ---
VASP calculation (PBE) on a relaxed CuPHS crystal.

a b c (Å): 8.1888 3.6039 4.8299
angles (deg): 90.00 103.23 90.00
Fractional coordinates of all 8 atoms:
Cu  0.0000  0.0000  0.0000
Cu  0.5000  0.5000  0.0000
P  0.4607  0.0000  0.2770
P  0.9607  0.5000  0.2770
H  0.2808  0.0000  0.2392
H  0.7808  0.5000  0.2392
S  0.0453  0.5000  0.7216
S  0.5453  0.0000  0.7216

## Properties
The value obtained for the density of states at the Fermi level is 1.585 states/eV/f.u. As for the crystal system: monoclinic.

--- x ---
VASP calculation (PBE) on a relaxed CuPHS crystal.

a b c (Å): 3.5024 4.0308 5.2381
angles (deg): 68.36 70.51 89.95
Fractional coordinates of all 4 atoms:
Cu  0.0000  0.0000  0.0000
P  0.6487  0.2671  0.7014
H  0.6553  0.6286  0.6843
S  0.8731  0.3902  0.2526

## Properties
The value obtained for the density of states at the Fermi level is 0.578 states/eV/f.u. As for the crystal system: triclinic.

Name the least stable of them. w.

--- w ---
VASP calculation (PBE) on a relaxed CuPHS2 crystal.

a b c (Å): 4.5879 4.5879 4.4927
angles (deg): 90.00 90.00 90.00
Fractional coordinates of all 5 atoms:
Cu  0.0000  0.0000  0.0000
P  0.0000  0.0000  0.5000
H  0.5000  0.5000  0.5000
S  0.0000  0.5000  0.0000
S  0.5000  0.0000  0.0000

## Properties
The value obtained for the density of states at the Fermi level is 4.044 states/eV/f.u. As for the crystal system: tetragonal.

--- x ---
VASP calculation (PBE) on a relaxed CuPHS2 crystal.

a b c (Å): 4.6501 4.6501 3.0478
angles (deg): 90.00 90.00 90.00
Fractional coordinates of all 5 atoms:
Cu  0.0000  0.0000  0.0000
P  0.5000  0.5000  0.0000
H  0.5000  0.5000  0.5000
S  0.0000  0.5000  0.5000
S  0.5000  0.0000  0.5000

## Properties
The value obtained for the density of states at the Fermi level is 3.088 states/eV/f.u. As for the crystal system: tetragonal.

Name the least stable of them. w.

--- w ---
VASP calculation (PBE) on a relaxed Cu3HPb crystal.

a b c (Å): 5.0561 5.0561 5.0561
angles (deg): 90.00 90.00 90.00
Fractional coordinates of all 5 atoms:
Cu  0.0000  0.0000  0.5000
Cu  0.0000  0.5000  0.0000
Cu  0.5000  0.0000  0.0000
H  0.5000  0.5000  0.5000
Pb  0.0000  0.0000  0.0000

## Properties
The value obtained for the density of states at the Fermi level is 2.353 states/eV/f.u. As for the crystal system: cubic.

--- x ---
VASP calculation (PBE) on a relaxed Cu3HPb crystal.

a b c (Å): 4.0320 4.0320 4.0320
angles (deg): 90.00 90.00 90.00
Fractional coordinates of all 5 atoms:
Cu  0.0000  0.0000  0.5000
Cu  0.0000  0.5000  0.0000
Cu  0.5000  0.0000  0.0000
H  0.0000  0.0000  0.0000
Pb  0.5000  0.5000  0.5000

## Properties
The value obtained for the density of states at the Fermi level is 1.124 states/eV/f.u. As for the crystal system: cubic.

Name the least stable of them. w.

--- w ---
VASP calculation (PBE) on a relaxed CuH2Pb crystal.

a b c (Å): 5.9015 5.9015 5.9015
angles (deg): 90.00 90.00 90.00
Fractional coordinates of all 16 atoms:
Cu  0.0000  0.0000  0.0000
Cu  0.0000  0.5000  0.5000
Cu  0.5000  0.0000  0.5000
Cu  0.5000  0.5000  0.0000
H  0.2500  0.2500  0.2500
H  0.2500  0.2500  0.7500
H  0.2500  0.7500  0.2500
H  0.2500  0.7500  0.7500
H  0.7500  0.2500  0.2500
H  0.7500  0.2500  0.7500
H  0.7500  0.7500  0.2500
H  0.7500  0.7500  0.7500
Pb  0.0000  0.0000  0.5000
Pb  0.0000  0.5000  0.0000
Pb  0.5000  0.0000  0.0000
Pb  0.5000  0.5000  0.5000

## Properties
The value obtained for the density of states at the Fermi level is 0.839 states/eV/f.u. As for the crystal system: cubic.

--- x ---
VASP calculation (PBE) on a relaxed CuH2Pb crystal.

a b c (Å): 4.7632 4.7632 9.4335
angles (deg): 90.00 90.00 90.00
Fractional coordinates of all 16 atoms:
Cu  0.0000  0.0000  0.0000
Cu  0.0000  0.5000  0.2500
Cu  0.5000  0.0000  0.7500
Cu  0.5000  0.5000  0.5000
H  0.0014  0.2500  0.1250
H  0.2500  0.5014  0.3750
H  0.2500  0.9986  0.8750
H  0.4986  0.2500  0.6250
H  0.5014  0.7500  0.6250
H  0.7500  0.0014  0.8750
H  0.7500  0.4986  0.3750
H  0.9986  0.7500  0.1250
Pb  0.0000  0.0000  0.5000
Pb  0.0000  0.5000  0.7500
Pb  0.5000  0.0000  0.2500
Pb  0.5000  0.5000  0.0000

## Properties
The value obtained for the density of states at the Fermi level is 0.761 states/eV/f.u. As for the crystal system: tetragonal.

Name the least stable of them. w.

--- w ---
VASP calculation (PBE) on a relaxed Cu2HPb crystal.

a b c (Å): 6.2520 6.2520 6.2520
angles (deg): 90.00 90.00 90.00
Fractional coordinates of all 16 atoms:
Cu  0.2500  0.2500  0.2500
Cu  0.2500  0.2500  0.7500
Cu  0.2500  0.7500  0.2500
Cu  0.2500  0.7500  0.7500
Cu  0.7500  0.2500  0.2500
Cu  0.7500  0.2500  0.7500
Cu  0.7500  0.7500  0.2500
Cu  0.7500  0.7500  0.7500
H  0.0000  0.0000  0.0000
H  0.0000  0.5000  0.5000
H  0.5000  0.0000  0.5000
H  0.5000  0.5000  0.0000
Pb  0.0000  0.0000  0.5000
Pb  0.0000  0.5000  0.0000
Pb  0.5000  0.0000  0.0000
Pb  0.5000  0.5000  0.5000

## Properties
The value obtained for the density of states at the Fermi level is 1.895 states/eV/f.u. As for the crystal system: cubic.

--- x ---
VASP calculation (PBE) on a relaxed Cu2HPb crystal.

a b c (Å): 5.5793 5.5793 7.5681
angles (deg): 90.00 90.00 90.00
Fractional coordinates of all 16 atoms:
Cu  0.0000  0.0000  0.0000
Cu  0.0000  0.5000  0.0000
Cu  0.2500  0.2500  0.7500
Cu  0.2500  0.7500  0.2500
Cu  0.5000  0.0000  0.5000
Cu  0.5000  0.5000  0.5000
Cu  0.7500  0.2500  0.7500
Cu  0.7500  0.7500  0.2500
H  0.0000  0.2500  0.8750
H  0.0000  0.7500  0.1250
H  0.5000  0.2500  0.6250
H  0.5000  0.7500  0.3750
Pb  0.0000  0.2500  0.3750
Pb  0.0000  0.7500  0.6250
Pb  0.5000  0.2500  0.1250
Pb  0.5000  0.7500  0.8750

## Properties
The value obtained for the density of states at the Fermi level is 1.092 states/eV/f.u. As for the crystal system: tetragonal.

Name the least stable of them. w.

--- w ---
VASP calculation (PBE) on a relaxed Cu2H2Pb crystal.

a b c (Å): 3.3319 3.3319 11.7921
angles (deg): 90.00 90.00 90.00
Fractional coordinates of all 10 atoms:
Cu  0.0000  0.0000  0.2000
Cu  0.0000  0.0000  0.8000
Cu  0.5000  0.5000  0.3000
Cu  0.5000  0.5000  0.7000
H  0.0000  0.5000  0.2500
H  0.0000  0.5000  0.7500
H  0.5000  0.0000  0.2500
H  0.5000  0.0000  0.7500
Pb  0.0000  0.0000  0.5000
Pb  0.5000  0.5000  0.0000

## Properties
The value obtained for the density of states at the Fermi level is 1.096 states/eV/f.u. As for the crystal system: tetragonal.

--- x ---
VASP calculation (PBE) on a relaxed Cu2H2Pb crystal.

a b c (Å): 6.8214 6.8214 3.1544
angles (deg): 90.00 90.00 90.00
Fractional coordinates of all 10 atoms:
Cu  0.1403  0.3597  0.0000
Cu  0.3597  0.8597  0.0000
Cu  0.6403  0.1403  0.0000
Cu  0.8597  0.6403  0.0000
H  0.0436  0.5436  0.5000
H  0.4564  0.0436  0.5000
H  0.5436  0.9564  0.5000
H  0.9564  0.4564  0.5000
Pb  0.0000  0.0000  0.0000
Pb  0.5000  0.5000  0.0000

## Properties
The value obtained for the density of states at the Fermi level is 1.361 states/eV/f.u. As for the crystal system: tetragonal.

Name the least stable of them. x.

--- w ---
VASP calculation (PBE) on a relaxed Y2CuHPb crystal.

a b c (Å): 4.8912 4.8912 4.1352
angles (deg): 90.00 90.00 90.00
Fractional coordinates of all 5 atoms:
Y  0.0000  0.5000  0.0000
Y  0.5000  0.0000  0.0000
Cu  0.0000  0.0000  0.5000
H  0.0000  0.0000  0.0000
Pb  0.5000  0.5000  0.5000

## Properties
The value obtained for the density of states at the Fermi level is 3.107 states/eV/f.u. As for the crystal system: tetragonal.

--- x ---
VASP calculation (PBE) on a relaxed Y2CuHPb crystal.

a b c (Å): 4.6550 4.6550 4.7360
angles (deg): 90.00 90.00 90.00
Fractional coordinates of all 5 atoms:
Y  0.0000  0.5000  0.0000
Y  0.5000  0.0000  0.0000
Cu  0.0000  0.0000  0.5000
H  0.5000  0.5000  0.0000
Pb  0.5000  0.5000  0.5000

## Properties
The value obtained for the density of states at the Fermi level is 3.743 states/eV/f.u. As for the crystal system: tetragonal.

Name the least stable of them. x.

--- w ---
VASP calculation (PBE) on a relaxed CuH4Pd3 crystal.

a b c (Å): 4.2031 4.2031 8.3543
angles (deg): 90.00 90.00 90.00
Fractional coordinates of all 16 atoms:
Cu  0.0000  0.0000  0.0000
Cu  0.5000  0.5000  0.5000
H  0.2477  0.2477  0.1248
H  0.2477  0.7523  0.8752
H  0.2523  0.2523  0.6248
H  0.2523  0.7477  0.3752
H  0.7477  0.2523  0.3752
H  0.7477  0.7477  0.6248
H  0.7523  0.2477  0.8752
H  0.7523  0.7523  0.1248
Pd  0.0000  0.0000  0.5000
Pd  0.0000  0.5000  0.2500
Pd  0.0000  0.5000  0.7500
Pd  0.5000  0.0000  0.2500
Pd  0.5000  0.0000  0.7500
Pd  0.5000  0.5000  0.0000

## Properties
The value obtained for the density of states at the Fermi level is 2.086 states/eV/f.u. As for the crystal system: tetragonal.

--- x ---
VASP calculation (PBE) on a relaxed CuH4Pd3 crystal.

a b c (Å): 6.0734 4.9337 4.9375
angles (deg): 90.00 90.00 90.00
Fractional coordinates of all 16 atoms:
Cu  0.0000  0.1816  0.0000
Cu  0.5000  0.8184  0.5000
H  0.0000  0.1762  0.3647
H  0.0000  0.8427  0.8624
H  0.2478  0.3300  0.8646
H  0.2522  0.6700  0.3646
H  0.5000  0.1573  0.3624
H  0.5000  0.8238  0.8647
H  0.7478  0.6700  0.3646
H  0.7522  0.3300  0.8646
Pd  0.0000  0.8269  0.4956
Pd  0.2461  0.6779  0.9969
Pd  0.2539  0.3221  0.4969
Pd  0.5000  0.1731  0.9956
Pd  0.7461  0.3221  0.4969
Pd  0.7539  0.6779  0.9969

## Properties
The value obtained for the density of states at the Fermi level is 2.111 states/eV/f.u. As for the crystal system: orthorhombic.

Name the least stable of them. x.

--- w ---
VASP calculation (PBE) on a relaxed Cu3HPd6 crystal.

a b c (Å): 7.3272 4.4968 8.2429
angles (deg): 90.00 100.32 90.00
Fractional coordinates of all 20 atoms:
Cu  0.0494  0.2500  0.0942
Cu  0.0645  0.2500  0.7522
Cu  0.2698  0.7500  0.4652
Cu  0.7302  0.2500  0.5348
Cu  0.9355  0.7500  0.2478
Cu  0.9506  0.7500  0.9058
H  0.4833  0.7500  0.1596
H  0.5167  0.2500  0.8404
Pd  0.0548  0.2500  0.4201
Pd  0.2417  0.7500  0.1374
Pd  0.2711  0.7500  0.7963
Pd  0.3746  0.2500  0.9873
Pd  0.3866  0.2500  0.6404
Pd  0.3897  0.2500  0.3174
Pd  0.6103  0.7500  0.6826
Pd  0.6134  0.7500  0.3596
Pd  0.6254  0.7500  0.0127
Pd  0.7289  0.2500  0.2037
Pd  0.7583  0.2500  0.8626
Pd  0.9452  0.7500  0.5799

## Properties
The value obtained for the density of states at the Fermi level is 9.844 states/eV/f.u. As for the crystal system: monoclinic.

--- x ---
VASP calculation (PBE) on a relaxed Cu3HPd6 crystal.

a b c (Å): 9.1020 2.7287 11.1082
angles (deg): 90.00 101.50 90.00
Fractional coordinates of all 20 atoms:
Cu  0.1275  0.2500  0.0226
Cu  0.1987  0.7500  0.6409
Cu  0.3595  0.7500  0.4759
Cu  0.6405  0.2500  0.5241
Cu  0.8013  0.2500  0.3591
Cu  0.8725  0.7500  0.9774
H  0.4289  0.2500  0.1966
H  0.5711  0.7500  0.8034
Pd  0.0352  0.7500  0.8141
Pd  0.0657  0.7500  0.4099
Pd  0.2603  0.2500  0.2682
Pd  0.2986  0.2500  0.8549
Pd  0.3929  0.7500  0.0751
Pd  0.4577  0.2500  0.6746
Pd  0.5423  0.7500  0.3254
Pd  0.6071  0.2500  0.9249
Pd  0.7014  0.7500  0.1451
Pd  0.7397  0.7500  0.7318
Pd  0.9343  0.2500  0.5901
Pd  0.9648  0.2500  0.1859

## Properties
The value obtained for the density of states at the Fermi level is 10.565 states/eV/f.u. As for the crystal system: monoclinic.

Name the least stable of them. x.